(1)
Compound: ZrW
Source: Alexandria via LeMat-Bulk
Functional: PBE
Structure: optimized geometry

- formation enthalpy at 0 K (eV/atom) = 2.785

Structure (CIF):
```
data_ZrW
_chemical_formula_sum 'Zr4 W4'
_space_group_name_H-M_alt 'F -4 3 m'
_space_group_IT_number 216
_space_group_name_Hall 'F -4 2 3'
_cell_length_a 6.0967
_cell_length_b 6.0967
_cell_length_c 6.0967
_cell_angle_alpha 90.00
_cell_angle_beta 90.00
_cell_angle_gamma 90.00
loop_
_atom_site_label
_atom_site_type_symbol
_atom_site_fract_x
_atom_site_fract_y
_atom_site_fract_z
Zr1 Zr 0.0000 0.0000 0.0000
W1 W 0.2500 0.2500 0.2500
```


(2)
Compound: Pm3Sn2Rh3
Source: Alexandria via LeMat-Bulk
Functional: PBE
Structure: optimized geometry

- formation enthalpy at 0 K (eV/atom) = -0.643

Structure (CIF):
```
data_Pm3Sn2Rh3
_chemical_formula_sum 'Pm9 Sn6 Rh9'
_space_group_name_H-M_alt 'R -3 m'
_space_group_IT_number 166
_space_group_name_Hall '-R 3 2"'
_cell_length_a 5.5650
_cell_length_b 5.5650
_cell_length_c 20.3256
_cell_angle_alpha 90.00
_cell_angle_beta 90.00
_cell_angle_gamma 120.00
loop_
_atom_site_label
_atom_site_type_symbol
_atom_site_fract_x
_atom_site_fract_y
_atom_site_fract_z
Pm1 Pm 0.0000 0.0000 0.0000
Pm2 Pm 0.0000 0.0000 0.4249
Sn1 Sn 0.0000 0.0000 0.2725
Rh1 Rh 0.0000 0.5000 0.5000
```


(3)
Compound: Sm3Dy2Tm9
Source: Alexandria via LeMat-Bulk
Functional: PBE
Structure: optimized geometry

- formation enthalpy at 0 K (eV/atom) = 0.112

Structure (CIF):
```
data_Sm3Dy2Tm9
_chemical_formula_sum 'Sm3 Dy2 Tm9'
_space_group_name_H-M_alt 'P 1'
_space_group_IT_number 1
_cell_length_a 6.2284
_cell_length_b 8.5934
_cell_length_c 8.7198
_cell_angle_alpha 79.76
_cell_angle_beta 76.30
_cell_angle_gamma 86.78
loop_
_space_group_symop_operation_xyz
'x,y,z'
loop_
_atom_site_label
_atom_site_type_symbol
_atom_site_fract_x
_atom_site_fract_y
_atom_site_fract_z
Sm1 Sm 0.0000 0.0000 0.0000
Sm2 Sm 0.1801 0.3555 0.2029
Sm3 Sm 0.4962 0.7573 0.5425
Dy1 Dy 0.6977 0.3375 0.9665
Dy2 Dy 0.8081 0.4077 0.5642
Tm1 Tm 0.0540 0.7528 0.3682
Tm2 Tm 0.1553 0.0689 0.5596
Tm3 Tm 0.2514 0.3800 0.7671
Tm4 Tm 0.3414 0.6912 0.9586
Tm5 Tm 0.4422 0.9832 0.1647
Tm6 Tm 0.5886 0.0449 0.7636
Tm7 Tm 0.7188 0.6133 0.1871
Tm8 Tm 0.7345 0.1243 0.3607
Tm9 Tm 0.9030 0.7079 0.7764
```


(4)
Compound: LaBP2S
Source: Alexandria via LeMat-Bulk
Functional: PBE
Structure: optimized geometry

- relative energy among the computed polymorphs (kcal/mol of atoms) = 39.40
- formation energy from raw total energies (eV/atom) = 1.451

Structure (CIF):
```
data_LaBP2S
_chemical_formula_sum 'La1 B1 P2 S1'
_space_group_name_H-M_alt 'P 4/m m m'
_space_group_IT_number 123
_space_group_name_Hall '-P 4 2'
_cell_length_a 5.6316
_cell_length_b 5.6316
_cell_length_c 5.4520
_cell_angle_alpha 90.00
_cell_angle_beta 90.00
_cell_angle_gamma 90.00
loop_
_atom_site_label
_atom_site_type_symbol
_atom_site_fract_x
_atom_site_fract_y
_atom_site_fract_z
La1 La 0.0000 0.0000 0.0000
B1 B 0.5000 0.5000 0.5000
P1 P 0.0000 0.5000 0.0000
S1 S 0.0000 0.0000 0.5000
```


(5)
Compound: SrAlBr
Source: Alexandria via LeMat-Bulk
Functional: PBE
Structure: optimized geometry

- formation energy from raw total energies (eV/atom) = -0.448

Structure (CIF):
```
data_SrAlBr
_chemical_formula_sum 'Sr1 Al1 Br1'
_space_group_name_H-M_alt 'P 3 m 1'
_space_group_IT_number 156
_cell_length_a 4.0415
_cell_length_b 4.0415
_cell_length_c 8.1479
_cell_angle_alpha 90.00
_cell_angle_beta 90.00
_cell_angle_gamma 120.00
loop_
_space_group_symop_operation_xyz
'x,y,z'
'-y,x-y,z'
'-x+y,-x,z'
'-y,-x,z'
'-x+y,y,z'
'x,x-y,z'
loop_
_atom_site_label
_atom_site_type_symbol
_atom_site_fract_x
_atom_site_fract_y
_atom_site_fract_z
Sr1 Sr 0.0000 0.0000 0.0000
Al1 Al 0.3333 0.6667 0.3018
Br1 Br 0.6667 0.3333 0.7654
```


(6)
Compound: LaZrSbTe2
Source: Alexandria via LeMat-Bulk
Functional: PBE
Structure: optimized geometry

- relative energy among the computed polymorphs (kcal/mol of atoms) = 0.00
- formation energy from raw total energies (eV/atom) = -0.597

Structure (CIF):
```
data_LaZrSbTe2
_chemical_formula_sum 'La1 Zr1 Sb1 Te2'
_space_group_name_H-M_alt 'P 4/m m m'
_space_group_IT_number 123
_space_group_name_Hall '-P 4 2'
_cell_length_a 5.5258
_cell_length_b 5.5258
_cell_length_c 5.5923
_cell_angle_alpha 90.00
_cell_angle_beta 90.00
_cell_angle_gamma 90.00
loop_
_atom_site_label
_atom_site_type_symbol
_atom_site_fract_x
_atom_site_fract_y
_atom_site_fract_z
La1 La 0.0000 0.0000 0.0000
Zr1 Zr 0.5000 0.5000 0.5000
Sb1 Sb 0.5000 0.5000 0.0000
Te1 Te 0.0000 0.5000 0.5000
```


no.,Fermi-level density of states (states/eV per cell)
1,18.7
2,17.0
3,21.5
4,6.9
5,1.9
6,3.2